The following is a DFT calculation (PBE) of a relaxed structure of RbZnBAu2.

Values from the calculation:
For the magnetization, the calculation gives 0.251 μB per atom. As for the energy relative to the elements: 1120 meV per atom. As for the space group: P4/mmm, No. 123.

Cell lengths 4.9371, 4.9371, 6.2782 Å; angles 90.00, 90.00, 90.00 degrees
With the nearest neighbours (Å) after each atom.
Element x y z (fractional)
Rb 0.0000 0.0000 0.0000  2 Zn 3.14, 4 B 3.49
Zn 0.0000 0.0000 0.5000  4 Au 2.47
B 0.5000 0.5000 0.0000  4 Rb 3.49
Au 0.0000 0.5000 0.5000  2 Zn 2.47
Au 0.5000 0.0000 0.5000  2 Zn 2.47